No. 1
Entry from the Alexandria database: a relaxed structure of Pr5Ag2Ru (PBE).

Lattice parameters (Å, degrees): 7.939 12.090 4.852 90.00 90.00 90.00
Space group Pbam (No. 55)
Symmetry-distinct sites (fractional):
Pr  0.000  0.000  0.000 (multiplicity 2)
Pr  0.147  0.297  0.000 (multiplicity 4)
Pr  0.185  0.574  0.500 (multiplicity 4)
Ag  0.078  0.834  0.500 (multiplicity 4)
Ru  0.000  0.500  0.000 (multiplicity 2)

Computed properties:
Density: 7.28 g cm⁻³
Energy relative to the elements: -196.1 meV/atom



No. 2
Entry from the Alexandria database: a relaxed structure of PrSmAgRu (PBE).

Lattice parameters (Å, degrees): 7.227 7.227 7.227 90.00 90.00 90.00
Space group F-43m (No. 216)
Symmetry-distinct sites (fractional):
Pr  0.000  0.000  0.000 (multiplicity 4)
Sm  0.000  0.000  0.500 (multiplicity 4)
Ag  0.250  0.250  0.750 (multiplicity 4)
Ru  0.250  0.250  0.250 (multiplicity 4)

Computed properties:
Density: 8.80 g cm⁻³
Energy relative to the elements: -204.1 meV/atom
Distance to the lowest polymorph of the same formula: 52 meV per atom



No. 3
Entry from the Alexandria database: a relaxed structure of PrSmAgRu (PBE).

Lattice parameters (Å, degrees): 3.520 3.520 7.752 90.00 90.00 90.00
Space group P4mm (No. 99)
Symmetry-distinct sites (fractional):
Pr  0.000  0.000  0.000 (multiplicity 1)
Sm  0.000  0.000  0.553 (multiplicity 1)
Ag  0.500  0.500  0.287 (multiplicity 1)
Ru  0.500  0.500  0.770 (multiplicity 1)

Computed properties:
Density: 8.65 g cm⁻³
Energy relative to the elements: -256.4 meV/atom
Distance to the lowest polymorph of the same formula: 0 meV per atom



Q: Among the records above, which one has the highest density?
A: number 2



Q: The highest energy relative to the elements belongs to which entry?
A: Pr5Ag2Ru



Q: What is the formula in the third record?
A: PrSmAgRu



Q: Look up the density of the third one.
A: 8.65 g cm⁻³